(1)
! TbGdAg2S4 | OQMD via LeMat-Bulk | PBE | optimized geometry; values from VASP
! - SG = No. 35
! - calculated total energy (eV/f.u.) = -42.12
&SYSTEM
  ibrav = 0, nat = 16, ntyp = 4
/
ATOMIC_SPECIES
Tb 158.93 Tb.upf
Gd 157.25 Gd.upf
Ag 107.87 Ag.upf
S 32.06 S.upf
CELL_PARAMETERS angstrom
9.2946 0.0000 0.0000
0.0000 9.2979 0.0000
0.0000 0.0000 4.1490
ATOMIC_POSITIONS crystal
Tb 0.0000 0.0000 0.0000
Tb 0.5000 0.5000 0.0000
Gd 0.0000 0.5000 0.4502
Gd 0.5000 0.0000 0.4502
Ag 0.2500 0.2500 0.2251
Ag 0.2500 0.7500 0.2251
Ag 0.7500 0.2500 0.2251
Ag 0.7500 0.7500 0.2251
S 0.0000 0.2003 0.4934
S 0.0000 0.7997 0.4934
S 0.2010 0.5000 0.9568
S 0.2990 0.0000 0.9568
S 0.5000 0.2997 0.4934
S 0.5000 0.7003 0.4934
S 0.7010 0.0000 0.9568
S 0.7990 0.5000 0.9568

---

(2)
! GdAgTeS | OQMD via LeMat-Bulk | PBE | optimized geometry; values from VASP
! - SG = No. 35
! - E above lowest polymorph (eV per atom) = 0.0061
&SYSTEM
  ibrav = 0, nat = 16, ntyp = 4
/
ATOMIC_SPECIES
Gd 157.25 Gd.upf
Ag 107.87 Ag.upf
Te 127.60 Te.upf
S 32.06 S.upf
CELL_PARAMETERS angstrom
9.0974 0.0000 0.0000
0.0000 10.5977 0.0000
0.0000 0.0000 4.3230
ATOMIC_POSITIONS crystal
Gd 0.0000 0.0000 0.0000
Gd 0.0000 0.5000 0.4006
Gd 0.5000 0.0000 0.4006
Gd 0.5000 0.5000 0.0000
Ag 0.2500 0.2500 0.1124
Ag 0.2500 0.7500 0.1124
Ag 0.7500 0.2500 0.1124
Ag 0.7500 0.7500 0.1124
Te 0.0000 0.2097 0.4923
Te 0.0000 0.7903 0.4923
Te 0.5000 0.2903 0.4923
Te 0.5000 0.7097 0.4923
S 0.1985 0.5000 0.9199
S 0.3015 0.0000 0.9199
S 0.6985 0.0000 0.9199
S 0.8015 0.5000 0.9199

---

(3)
! GdAgTeS | OQMD via LeMat-Bulk | PBE | optimized geometry; values from VASP
! - SG = No. 4
! - E above lowest polymorph (eV per atom) = 0.0000
&SYSTEM
  ibrav = 0, nat = 8, ntyp = 4
/
ATOMIC_SPECIES
Gd 157.25 Gd.upf
Ag 107.87 Ag.upf
Te 127.60 Te.upf
S 32.06 S.upf
CELL_PARAMETERS angstrom
4.4411 0.0000 0.0000
0.0000 6.9010 0.0000
-0.2826 0.0000 6.8842
ATOMIC_POSITIONS crystal
Gd 0.2163 0.0000 0.2924
Gd 0.7837 0.5000 0.7076
Ag 0.0044 0.4832 0.2476
Ag 0.9956 0.9832 0.7524
Te 0.2971 0.2867 0.9481
Te 0.7029 0.7867 0.0519
S 0.2575 0.6930 0.5496
S 0.7425 0.1930 0.4504

---

(4)
! GdTlAg2S3 | OQMD via LeMat-Bulk | PBE | optimized geometry; values from VASP
! - SG = No. 62
! - calculated total energy (eV/f.u.) = -31.14
&SYSTEM
  ibrav = 0, nat = 28, ntyp = 4
/
ATOMIC_SPECIES
Gd 157.25 Gd.upf
Tl 204.38 Tl.upf
Ag 107.87 Ag.upf
S 32.06 S.upf
CELL_PARAMETERS angstrom
14.0073 0.0000 0.0000
0.0000 4.1177 0.0000
0.0000 0.0000 11.3663
ATOMIC_POSITIONS crystal
Gd 0.0185 0.2500 0.1628
Gd 0.4815 0.7500 0.6628
Gd 0.5185 0.2500 0.3372
Gd 0.9815 0.7500 0.8372
Tl 0.2316 0.2500 0.4572
Tl 0.2684 0.7500 0.9572
Tl 0.7316 0.2500 0.0428
Tl 0.7684 0.7500 0.5428
Ag 0.0387 0.7500 0.4121
Ag 0.1793 0.2500 0.7314
Ag 0.3207 0.7500 0.2314
Ag 0.4613 0.2500 0.9121
Ag 0.5387 0.7500 0.0879
Ag 0.6793 0.2500 0.7686
Ag 0.8207 0.7500 0.2686
Ag 0.9613 0.2500 0.5879
S 0.0888 0.7500 0.6316
S 0.0935 0.2500 0.9329
S 0.1406 0.7500 0.2277
S 0.3594 0.2500 0.7277
S 0.4065 0.7500 0.4329
S 0.4112 0.2500 0.1316
S 0.5888 0.7500 0.8684
S 0.5935 0.2500 0.5671
S 0.6406 0.7500 0.2723
S 0.8594 0.2500 0.7723
S 0.9065 0.7500 0.0671
S 0.9112 0.2500 0.3684

---

(5)
! TbGdAg2Sb4 | OQMD via LeMat-Bulk | PBE | optimized geometry; values from VASP
! - SG = No. 99
! - calculated total energy (eV/f.u.) = -36.54
&SYSTEM
  ibrav = 0, nat = 8, ntyp = 4
/
ATOMIC_SPECIES
Tb 158.93 Tb.upf
Gd 157.25 Gd.upf
Ag 107.87 Ag.upf
Sb 121.76 Sb.upf
CELL_PARAMETERS angstrom
4.3462 0.0000 0.0000
0.0000 4.3462 0.0000
0.0000 0.0000 10.4695
ATOMIC_POSITIONS crystal
Tb 0.0000 0.0000 0.0000
Gd 0.5000 0.5000 0.5279
Ag 0.0000 0.5000 0.2638
Ag 0.5000 0.0000 0.2638
Sb 0.0000 0.0000 0.4475
Sb 0.0000 0.5000 0.7646
Sb 0.5000 0.0000 0.7646
Sb 0.5000 0.5000 0.0798

---

(6)
! GdTmAg2Sb4 | OQMD via LeMat-Bulk | PBE | optimized geometry; values from VASP
! - SG = No. 99
! - calculated total energy (eV/f.u.) = -36.09
&SYSTEM
  ibrav = 0, nat = 8, ntyp = 4
/
ATOMIC_SPECIES
Gd 157.25 Gd.upf
Tm 168.93 Tm.upf
Ag 107.87 Ag.upf
Sb 121.76 Sb.upf
CELL_PARAMETERS angstrom
4.3312 0.0000 0.0000
0.0000 4.3312 0.0000
0.0000 0.0000 10.4146
ATOMIC_POSITIONS crystal
Gd 0.0000 0.0000 0.0000
Tm 0.5000 0.5000 0.5289
Ag 0.0000 0.5000 0.2653
Ag 0.5000 0.0000 0.2653
Sb 0.0000 0.0000 0.4515
Sb 0.0000 0.5000 0.7617
Sb 0.5000 0.0000 0.7617
Sb 0.5000 0.5000 0.0796

---

Summary of total magnetic moment in μB per atom
0.000, 0.000, 0.000, 0.001, 0.000, 0.000
(order as listed above)